Record 1
Density functional theory data (PBE-GGA) for an optimized crystal structure of CaScTeN2.

abc: 4.415 4.415 6.013
angles: 90.00 90.00 90.00
Space group P4/mmm (No. 123)
Unique sites:
Ca (0.000, 0.000, 0.000) (multiplicity 1)
Sc (0.500, 0.500, 0.500) (multiplicity 1)
Te (0.000, 0.000, 0.500) (multiplicity 1)
N (0.000, 0.500, 0.000) (multiplicity 2)

Summary:
ΔE_f (raw) in meV per atom: 817
E above lowest polymorph in meV/atom: 887
Total moment in μB/atom: 0.605

=====

Record 2
Density functional theory data (PBE-GGA) for an optimized crystal structure of NiAs3H.

abc: 4.598 4.598 4.598
angles: 90.00 90.00 90.00
Space group Pm-3m (No. 221)
Unique sites:
Ni (0.000, 0.000, 0.000) (multiplicity 1)
As (0.000, 0.000, 0.500) (multiplicity 3)
H (0.500, 0.500, 0.500) (multiplicity 1)

Summary:
E above lowest polymorph in meV/atom: 242
Total moment in μB/atom: 0.000

=====

Record 3
Density functional theory data (PBE-GGA) for an optimized crystal structure of TbY3Sn2.

abc: 7.343 14.444 7.529
angles: 90.00 90.00 90.00
Space group Ibam (No. 72)
Unique sites:
Tb (0.000, 0.000, 0.000) (multiplicity 4)
Y (0.000, 0.213, 0.250) (multiplicity 8)
Y (0.000, 0.500, 0.250) (multiplicity 4)
Sn (0.186, 0.358, 0.000) (multiplicity 8)

Summary:
Energy relative to the elements in eV/atom: -0.35
Total moment in μB/atom: 0.000

=====

Record 4
Density functional theory data (PBE-GGA) for an optimized crystal structure of ZrScReIr.

abc: 6.530 6.530 6.530
angles: 90.00 90.00 90.00
Space group F-43m (No. 216)
Unique sites:
Zr (0.000, 0.000, 0.000) (multiplicity 4)
Sc (0.000, 0.000, 0.500) (multiplicity 4)
Re (0.250, 0.250, 0.250) (multiplicity 4)
Ir (0.250, 0.250, 0.750) (multiplicity 4)

Summary:
Energy relative to the elements in eV/atom: -0.54
Total moment in μB/atom: 0.000

=====

Record 5
Density functional theory data (PBE-GGA) for an optimized crystal structure of Nd2YPt2.

abc: 7.890 7.890 4.094
angles: 90.00 90.00 90.00
Space group P4/mbm (No. 127)
Unique sites:
Nd (0.164, 0.336, 0.000) (multiplicity 4)
Y (0.000, 0.000, 0.500) (multiplicity 2)
Pt (0.137, 0.637, 0.500) (multiplicity 4)

Summary:
Energy relative to the elements in eV/atom: -0.96
Total moment in μB/atom: 0.000

=====

Record 6
Density functional theory data (PBE-GGA) for an optimized crystal structure of Pm3Er4Cd4.

abc: 5.298 7.215 16.910
angles: 90.00 90.00 90.00
Space group Immm (No. 71)
Unique sites:
Pm (0.000, 0.000, 0.000) (multiplicity 2)
Pm (0.000, 0.500, 0.107) (multiplicity 4)
Er (0.000, 0.267, 0.319) (multiplicity 8)
Cd (0.000, 0.000, 0.184) (multiplicity 4)
Cd (0.000, 0.203, 0.500) (multiplicity 4)

Summary:
Energy relative to the elements in eV/atom: -0.12
Total moment in μB/atom: 0.000